Material: Cu2ReCl
Method: DFT, PBE-GGA
State: optimized geometry

Results
Fermi-level density of states = 2.19 states/eV/cell
space-group type = Cm, No. 8
excess energy over the best structure of this formula in the dataset = 0.3210 eV/atom
calculated volume = 56.7 Å³/cell
final energy = -4.964 eV/atom
raw formation energy = 657 meV per atom

Lattice parameters (Å, degrees): 4.7282 4.7282 4.9414 69.36 69.36 33.52
Closest atoms and distances in Å follow each position.
Fractional positions:
Re  0.4836  0.4836  0.4327  3 Cl 2.43-2.60, 2 Cu 2.66
Cu  0.0150  0.0150  0.9114  5 Cu 2.49-2.73
Cu  0.7566  0.7566  0.8381  5 Cu 2.49-2.73, 2 Re 2.66, 2 Cl 2.70
Cl  0.2448  0.2448  0.3177  3 Re 2.43-2.60, 2 Cu 2.70